Entry 1:
The following is a DFT calculation (GGA-PBE) of a relaxed Cd2Ag5Au5 crystal.

Properties
E above lowest polymorph	0	meV per atom
DOS(E_F)	5.3	states/eV per cell
volume	440.2	Å³ per cell
final energy	-2.7966	eV/atom
energy relative to the elements	-0.090	eV/atom

Geometry as CIF:
```
data_Cd2Ag5Au5
_cell_length_a 12.4800
_cell_length_b 4.1961
_cell_length_c 9.3112
_cell_angle_alpha 90.00
_cell_angle_beta 115.48
_cell_angle_gamma 90.00
_symmetry_space_group_name_H-M 'C 1 2/m 1'
_symmetry_Int_Tables_number 12
loop_
_symmetry_equiv_pos_as_xyz
'x,y,z'
'-x,-y,-z'
'-x,y,-z'
'x,-y,z'
'x+1/2,y+1/2,z'
'-x+1/2,-y+1/2,-z'
'-x+1/2,y+1/2,-z'
'x+1/2,-y+1/2,z'
loop_
_atom_site_label
_atom_site_type_symbol
_atom_site_fract_x
_atom_site_fract_y
_atom_site_fract_z
Cd1 Cd 0.0842 0.0000 0.2513
Ag1 Ag 0.0000 0.0000 0.5000
Ag2 Ag 0.1687 0.0000 0.0010
Ag3 Ag 0.2493 0.0000 0.7505
Au1 Au 0.0000 0.5000 0.0000
Au2 Au 0.0838 0.5000 0.7517
Au3 Au 0.1665 0.5000 0.5028
```


Entry 2:
The following is a DFT calculation (GGA-PBE) of a relaxed Cd3Ag5Au3 crystal.

Properties
E above lowest polymorph	0	meV per atom
DOS(E_F)	2.6	states/eV per cell
volume	230.8	Å³ per cell
final energy	-2.3492	eV/atom
energy relative to the elements	0.090	eV/atom

Geometry as CIF:
```
data_Cd3Ag5Au3
_cell_length_a 9.5999
_cell_length_b 9.5999
_cell_length_c 2.8921
_cell_angle_alpha 90.00
_cell_angle_beta 90.00
_cell_angle_gamma 120.00
_symmetry_space_group_name_H-M 'P -6 2 m'
_symmetry_Int_Tables_number 189
_symmetry_space_group_name_Hall 'P -6 -2'
loop_
_atom_site_label
_atom_site_type_symbol
_atom_site_fract_x
_atom_site_fract_y
_atom_site_fract_z
Cd1 Cd 0.0000 0.5843 0.0000
Ag1 Ag 0.0000 0.3355 0.5000
Ag2 Ag 0.3333 0.6667 0.5000
Au1 Au 0.0000 0.8318 0.5000
```


Entry 3:
The following is a DFT calculation (GGA-PBE) of a relaxed Cd3AgAu crystal.

Properties
E above lowest polymorph	311	meV per atom
DOS(E_F)	1.8	states/eV per cell
volume	146.0	Å³ per cell
final energy	-1.5065	eV/atom
energy relative to the elements	0.268	eV/atom

Geometry as CIF:
```
data_Cd3AgAu
_cell_length_a 5.2657
_cell_length_b 5.2657
_cell_length_c 5.2657
_cell_angle_alpha 90.00
_cell_angle_beta 90.00
_cell_angle_gamma 90.00
_symmetry_space_group_name_H-M 'P m -3 m'
_symmetry_Int_Tables_number 221
_symmetry_space_group_name_Hall '-P 4 2 3'
loop_
_atom_site_label
_atom_site_type_symbol
_atom_site_fract_x
_atom_site_fract_y
_atom_site_fract_z
Cd1 Cd 0.0000 0.0000 0.5000
Ag1 Ag 0.5000 0.5000 0.5000
Au1 Au 0.0000 0.0000 0.0000
```


The highest energy relative to the elements belongs to which entry? Cd3AgAu


Which of these has the highest E above lowest polymorph? Cd3AgAu


What is the final energy in the second record? -2.3492 eV/atom